(1)
Here is a relaxed structure of LiReSn2 from the Alexandria database. Energies are from PBE-GGA.

Lattice parameters (Å, degrees): 4.678 4.678 4.678 60.00 60.00 60.00
Positions (direct):
1 Sn 0.750 0.750 0.750
2 Sn 0.250 0.250 0.250
3 Li 0.000 0.000 0.000
4 Re 0.500 0.500 0.500

Calculated values
Offset from the most stable computed form   0.000 eV per atom
E_form   0.204 eV/atom
Space-group type   Fm-3m, No. 225

---

(2)
Here is a relaxed structure of Hf2CoH from the Alexandria database. Energies are from PBE-GGA.

Lattice parameters (Å, degrees): 4.340 4.340 4.340 60.00 60.00 60.00
Positions (direct):
1 Co 0.500 0.500 0.500
2 H 0.000 0.000 0.000
3 Hf 0.750 0.750 0.750
4 Hf 0.250 0.250 0.250

Calculated values
Offset from the most stable computed form   0.397 eV per atom
Space-group type   Fm-3m, No. 225

---

(3)
Here is a relaxed structure of Mg5Tc from the Alexandria database. Energies are from PBE-GGA.

Lattice parameters (Å, degrees): 5.553 5.553 5.553 60.00 60.00 60.00
Site moments in Bohr magnetons follow the coordinates.
Positions (direct):
1 Mg 0.250 0.250 0.250  0.00
2 Mg 0.626 0.626 0.626  0.00
3 Mg 0.626 0.626 0.122  0.00
4 Mg 0.122 0.626 0.626  0.00
5 Mg 0.626 0.122 0.626  0.00
6 Tc 0.000 0.000 0.000  1.55

Calculated values
Offset from the most stable computed form   0.303 eV per atom
E_form   0.433 eV/atom
Space-group type   F-43m, No. 216

---

(4)
Here is a relaxed structure of Ac2MgAg from the Alexandria database. Energies are from PBE-GGA.

Lattice parameters (Å, degrees): 4.059 4.059 7.977 90.00 90.00 90.00
Positions (direct):
1 Ag 0.500 0.500 0.000
2 Ac 0.000 0.000 0.760
3 Ac 0.000 0.000 0.240
4 Mg 0.500 0.500 0.500

Calculated values
Offset from the most stable computed form   0.000 eV per atom
E_form   -0.171 eV/atom
Space-group type   P4/mmm, No. 123

---

(5)
Here is a relaxed structure of CeZnCd3 from the Alexandria database. Energies are from PBE-GGA.

Lattice parameters (Å, degrees): 4.493 8.956 11.638 90.00 90.00 90.00
Site moments in Bohr magnetons follow the coordinates.
Positions (direct):
1 Cd 0.750 0.099 0.207  0.00
2 Cd 0.750 0.599 0.293  0.00
3 Cd 0.250 0.865 0.202  0.00
4 Cd 0.750 0.135 0.798  0.00
5 Cd 0.250 0.401 0.707  0.00
6 Cd 0.750 0.934 0.600  0.00
7 Cd 0.750 0.635 0.702  0.00
8 Cd 0.250 0.901 0.793  0.00
9 Cd 0.250 0.365 0.298  0.00
10 Cd 0.750 0.434 0.900  0.00
11 Cd 0.250 0.566 0.100  0.00
12 Cd 0.250 0.066 0.400  0.00
13 Zn 0.750 0.879 0.370  0.00
14 Zn 0.250 0.621 0.870  0.00
15 Zn 0.750 0.379 0.130  0.00
16 Zn 0.250 0.121 0.630  0.00
17 Ce 0.250 0.688 0.496  0.88
18 Ce 0.750 0.312 0.504  0.88
19 Ce 0.250 0.188 0.004  0.88
20 Ce 0.750 0.812 0.996  0.88

Calculated values
Offset from the most stable computed form   0.000 eV per atom
E_form   -0.150 eV/atom
Space-group type   Pnma, No. 62

---

(6)
Here is a relaxed structure of Sb3TePd6 from the Alexandria database. Energies are from PBE-GGA.

Lattice parameters (Å, degrees): 3.491 11.441 11.156 120.21 90.00 90.00
Positions (direct):
1 Pd 0.750 0.847 0.715
2 Pd 0.750 0.128 0.489
3 Pd 0.250 0.701 0.042
4 Pd 0.250 0.059 0.932
5 Pd 0.750 0.564 0.641
6 Pd 0.250 0.436 0.359
7 Pd 0.750 0.724 0.261
8 Pd 0.750 0.941 0.068
9 Pd 0.750 0.299 0.958
10 Pd 0.250 0.872 0.511
11 Pd 0.250 0.153 0.285
12 Pd 0.250 0.276 0.739
13 Sb 0.250 0.776 0.849
14 Sb 0.750 0.503 0.861
15 Sb 0.250 0.497 0.139
16 Sb 0.750 0.647 0.449
17 Sb 0.250 0.353 0.551
18 Sb 0.750 0.224 0.151
19 Te 0.250 0.928 0.293
20 Te 0.750 0.072 0.707

Calculated values
E_form (uncorrected)   -0.332 eV per atom
Space-group type   P2_1/m, No. 11